# 1
{
  "formula": "AlMo2Ru2",
  "functional": "PBE",
  "state": "relaxed",
  "spacegroup": "P4/mbm",
  "delta_e_f_ev_per_atom": 0.0647,
  "m_tot_mub_per_cell": 0.0,
  "polymorph_energy_ev_per_atom": 0.0000,
  "volume_a3_per_atom": 15.8,
  "lattice": [[-1.8436, 3.9804, 6.0019], [-6.8691, 0.8895, -2.6999], [-0.8344, -2.3967, 1.3332]],
  "species": ["Ru", "Ru", "Ru", "Ru", "Mo", "Mo", "Mo", "Mo", "Al", "Al"],
  "fractional_positions": [[0.6293, 0.1293, 0.0000], [0.1293, 0.3707, 0.0000], [0.8707, 0.6293, 0.0000], [0.3707, 0.8707, 0.0000], [0.1649, 0.6649, 0.5000], [0.8351, 0.3351, 0.5000], [0.6649, 0.8351, 0.5000], [0.3351, 0.1649, 0.5000], [0.5000, 0.5000, 0.0000], [0.0000, 0.0000, 0.0000]]
}

# 2
{
  "formula": "AlMo2Ru",
  "functional": "PBE",
  "state": "relaxed",
  "spacegroup": "Pmm2",
  "delta_e_f_ev_per_atom": -0.0466,
  "m_tot_mub_per_cell": 0.0,
  "volume_a3_per_atom": 15.2,
  "lattice": [[-2.7378, -0.4495, 0.1829], [0.3416, -3.1481, -2.6223], [0.8144, -3.3036, 4.0721]],
  "species": ["Mo", "Mo", "Ru", "Al"],
  "fractional_positions": [[0.0000, 0.0000, 0.9887], [0.5000, 0.5000, 0.2486], [0.0000, 0.0000, 0.5223], [0.5000, 0.5000, 0.7403]]
}

# 3
{
  "formula": "AlMo2Ru",
  "functional": "PBE",
  "state": "relaxed",
  "spacegroup": "Pmmm",
  "delta_e_f_ev_per_atom": -0.1800,
  "m_tot_mub_per_cell": 0.0,
  "volume_a3_per_atom": 14.9,
  "lattice": [[-0.6450, -1.9126, -2.3709], [4.0566, -1.2025, -0.1335], [-0.8912, -3.3316, 2.9300]],
  "species": ["Mo", "Mo", "Al", "Ru"],
  "fractional_positions": [[0.5000, 0.5000, 0.0000], [0.0000, 0.0000, 0.0000], [0.0000, 0.5000, 0.5000], [0.5000, 0.0000, 0.5000]]
}

# 4
{
  "formula": "Al3MoRu4",
  "functional": "PBE",
  "state": "relaxed",
  "spacegroup": "P4/mmm",
  "delta_e_f_ev_per_atom": -0.5778,
  "m_tot_mub_per_cell": 0.0,
  "volume_a3_per_atom": 13.9,
  "lattice": [[4.2818, 0.0000, 0.0000], [0.0000, 6.0781, 0.0000], [0.0000, 0.0000, 8.5636]],
  "species": ["Mo", "Mo", "Al", "Al", "Al", "Al", "Al", "Al", "Ru", "Ru", "Ru", "Ru", "Ru", "Ru", "Ru", "Ru"],
  "fractional_positions": [[0.0000, 0.5000, 0.0000], [0.0000, 0.5000, 0.5000], [0.0000, 0.0000, 0.5000], [0.0000, 0.0000, 0.0000], [0.4999, 0.5000, 0.2500], [0.5001, 0.5000, 0.7500], [0.4999, 0.0000, 0.7500], [0.5001, 0.0000, 0.2500], [0.5000, 0.7521, 0.0000], [0.5000, 0.7521, 0.5000], [0.5000, 0.2479, 0.0000], [0.5000, 0.2479, 0.5000], [0.0000, 0.7521, 0.2500], [0.0000, 0.2479, 0.2500], [0.0000, 0.7521, 0.7500], [0.0000, 0.2479, 0.7500]]
}

# 5
{
  "formula": "AlMoRu2",
  "functional": "PBE",
  "state": "relaxed",
  "spacegroup": "I-42d",
  "delta_e_f_ev_per_atom": 0.4284,
  "m_tot_mub_per_cell": 0.0,
  "volume_a3_per_atom": 16.0,
  "lattice": [[-0.6608, 5.2133, -4.2872], [-3.0889, -4.0637, -4.4655], [-4.3423, 1.1987, -3.2373]],
  "species": ["Al", "Al", "Ru", "Ru", "Ru", "Ru", "Mo", "Mo"],
  "fractional_positions": [[0.5000, 0.5000, 0.0000], [0.2500, 0.7500, 0.5000], [0.8750, 0.8853, 0.7500], [0.3750, 0.3647, 0.7500], [0.1147, 0.6250, 0.2500], [0.6353, 0.1250, 0.2500], [0.0000, 0.0000, 0.0000], [0.7500, 0.2500, 0.5000]]
}

# 6
{
  "formula": "AlMoRu2",
  "functional": "PBE",
  "state": "relaxed",
  "spacegroup": "Cmm2",
  "delta_e_f_ev_per_atom": 0.1064,
  "m_tot_mub_per_cell": 0.2,
  "volume_a3_per_atom": 14.7,
  "lattice": [[-1.2581, -2.3927, 0.2571], [0.9793, 0.9616, 2.3431], [-7.5266, 4.1140, 1.4573]],
  "species": ["Ru", "Ru", "Al", "Mo"],
  "fractional_positions": [[0.0000, 0.0000, 0.0001], [0.5000, 0.5000, 0.2588], [0.0000, 0.0000, 0.4909], [0.5000, 0.5000, 0.7503]]
}